Entry 1:
# Sc4InNi (PBE-GGA, optimized geometry)
data_Sc4InNi
_chemical_formula_sum 'Sc16 In4 Ni4'
_cell_length_a 8.063
_cell_length_b 8.063
_cell_length_c 8.063
_cell_angle_alpha 90.00
_cell_angle_beta 90.00
_cell_angle_gamma 90.00
_symmetry_space_group_name_H-M 'F -4 3 m'
_symmetry_Int_Tables_number 216
_symmetry_space_group_name_Hall 'F -4 2 3'
loop_
_atom_site_label
_atom_site_type_symbol
_atom_site_fract_x
_atom_site_fract_y
_atom_site_fract_z
_atom_site_occupancy
Sc1 Sc 0.125 0.125 0.125 1
In1 In 0.250 0.250 0.750 1
Ni1 Ni 0.000 0.000 0.500 1
# Excess energy over the best structure of this formula in the dataset in meV per atom: 422

Entry 2:
The following is a PBE-GGA calculation of a relaxed structure of Rb2GaHg5, from Alexandria.

```
data_Rb2GaHg5
_chemical_formula_sum 'Rb4 Ga2 Hg10'
_cell_length_a 7.140
_cell_length_b 7.140
_cell_length_c 11.375
_cell_angle_alpha 90.00
_cell_angle_beta 90.00
_cell_angle_gamma 90.00
_symmetry_space_group_name_H-M 'I 4 m m'
_symmetry_Int_Tables_number 107
_symmetry_space_group_name_Hall 'I 4 -2'
loop_
_atom_site_label
_atom_site_type_symbol
_atom_site_fract_x
_atom_site_fract_y
_atom_site_fract_z
_atom_site_occupancy
Rb1 Rb 0.000 0.500 0.000 1
Ga1 Ga 0.000 0.000 0.142 1
Hg1 Hg 0.000 0.000 0.897 1
Hg2 Hg 0.246 0.246 0.747 1
```

Number 1: DFT formation energy 1.90 eV per formula unit. Number 2: DFT formation energy -1.29 eV per formula unit.